The following is a DFT calculation (PBE) of a relaxed Pm2NdHo4Th crystal.

a b c (Å): 5.113 5.094 11.204
angles (deg): 63.00 90.00 90.00
Atoms (fractional coordinates):
Ho  0.000  0.245  0.255
Ho  0.500  0.255  0.745
Ho  0.000  0.755  0.745
Ho  0.500  0.745  0.255
Pm  0.000  0.000  0.000
Pm  0.500  0.000  0.500
Th  0.000  0.500  0.500
Nd  0.500  0.500  0.000

Output
- symmetry = P2/m (10)
- D(E_F) (states/eV per cell) = 10.7
- ΔE_f (eV/f.u.) = 0.2
- total DFT energy (no corrections) (hartree per atom) = -0.1827